Material: NaSr2Bi
Method: DFT, PBE
State: optimized geometry

* energy relative to the elements: -0.502 eV per atom

Unit cell a=5.599 b=5.599 c=4.707 alpha=90.00 beta=90.00 gamma=90.00
Space group P4/mmm (No. 123)
One atom of each set of equivalent atoms:
Na 0.000 0.000 0.000 (multiplicity 1)
Sr 0.000 0.500 0.500 (multiplicity 2)
Bi 0.500 0.500 0.000 (multiplicity 1)